1.
Entry from Alexandria via LeMat-Bulk: crystalline Li2Zn3Pd at its relaxed geometry (GGA-PBE).

Calculated values
formation energy from the elements: -0.339 eV/atom
offset from the most stable computed form: 0 meV per atom

Unit cell a=4.2175 b=5.2727 c=8.4961 alpha=115.47 beta=90.00 gamma=90.00
With the nearest neighbours (Å) after each atom.
Fractional positions:
Zn 0.2500 0.9551 0.0940  5 Zn 2.58-2.81, 4 Li 2.60-2.84, 3 Pd 2.62-2.82
Zn 0.2500 0.1435 0.7274  4 Li 2.60-2.67, 2 Pd 2.63-2.66, 5 Zn 2.77-2.91
Zn 0.2500 0.2672 0.4256  4 Li 2.54-2.75, 1 Zn 2.58, 3 Pd 2.67-2.73
Zn 0.7500 0.7328 0.5744  4 Li 2.54-2.75, 1 Zn 2.58, 3 Pd 2.67-2.73
Zn 0.7500 0.0449 0.9060  5 Zn 2.58-2.81, 4 Li 2.60-2.84, 3 Pd 2.62-2.82
Zn 0.7500 0.8565 0.2726  4 Li 2.60-2.67, 2 Pd 2.63-2.66, 5 Zn 2.77-2.91
Pd 0.2500 0.6601 0.7545  8 Zn 2.62-2.82, 4 Li 2.75-2.85
Pd 0.7500 0.3399 0.2455  8 Zn 2.62-2.82, 4 Li 2.75-2.85
Li 0.7500 0.2679 0.5968  7 Zn 2.54-2.75, 1 Li 2.59
Li 0.2500 0.7321 0.4032  7 Zn 2.54-2.75, 1 Li 2.59
Li 0.2500 0.4299 0.0688  3 Li 2.59-2.67, 5 Zn 2.60-2.84, 2 Pd 2.75
Li 0.7500 0.5701 0.9312  3 Li 2.59-2.67, 5 Zn 2.60-2.84, 2 Pd 2.75



2.
Entry from Alexandria via LeMat-Bulk: crystalline CaCd2Ir at its relaxed geometry (GGA-PBE).

Calculated values
formation energy from the elements: -0.053 eV/atom

Unit cell a=4.4218 b=3.4885 c=5.9277 alpha=72.52 beta=90.00 gamma=90.00
With the nearest neighbours (Å) after each atom.
Fractional positions:
Cd 0.0000 0.0385 0.0423  2 Ir 2.91-3.23, 4 Cd 3.01-3.03
Cd 0.5000 0.4451 0.2364  2 Ir 2.76, 4 Cd 3.01-3.03, 1 Ca 3.07
Ca 0.5000 0.7151 0.6941  4 Ir 2.97, 3 Cd 3.07-3.13
Ir 0.0000 0.3012 0.5272  3 Cd 2.76-2.91, 4 Ca 2.97



3.
Entry from Alexandria via LeMat-Bulk: crystalline In5Pb7 at its relaxed geometry (GGA-PBE).

Calculated values
formation energy from the elements: 0.010 eV/atom

Unit cell a=3.5022 b=9.8107 c=10.4374 alpha=90.00 beta=90.00 gamma=90.00
With the nearest neighbours (Å) after each atom.
Fractional positions:
In 0.5000 0.2535 0.6648  7 In 3.39-3.50, 5 Pb 3.45-3.50
In 0.0000 0.0021 0.8276  7 Pb 3.41-3.49, 5 In 3.47-3.60
In 0.0000 0.0021 0.1724  7 Pb 3.41-3.49, 5 In 3.47-3.60
In 0.0000 0.4924 0.5000  6 In 3.39-3.50, 6 Pb 3.46-3.50
In 0.5000 0.2535 0.3352  7 In 3.39-3.50, 5 Pb 3.45-3.50
Pb 0.5000 0.7472 0.3349  8 Pb 3.45-3.54, 4 In 3.49-3.50
Pb 0.5000 0.7472 0.6651  8 Pb 3.45-3.54, 4 In 3.49-3.50
Pb 0.5000 0.2374 0.0000  6 In 3.41-3.50, 6 Pb 3.50-3.57
Pb 0.0000 0.4995 0.8318  3 In 3.45-3.46, 9 Pb 3.46-3.57
Pb 0.5000 0.7592 0.0000  4 In 3.46, 8 Pb 3.50-3.56
Pb 0.0000 0.0063 0.5000  6 In 3.42-3.45, 6 Pb 3.50-3.54
Pb 0.0000 0.4995 0.1682  3 In 3.45-3.46, 9 Pb 3.46-3.57



4.
Entry from Alexandria via LeMat-Bulk: crystalline Pm2BrN at its relaxed geometry (GGA-PBE).

Calculated values
ΔE_f (raw): -1.4126 eV/atom

Unit cell a=3.7107 b=3.7113 c=7.5592 alpha=90.00 beta=104.21 gamma=120.01
With the nearest neighbours (Å) after each atom.
Fractional positions:
Br 0.0229 0.7525 0.5515  6 Pm 3.17
N 0.0233 0.2529 0.0515  6 Pm 2.50
Pm 0.5718 0.5272 0.8743  3 N 2.50
Pm 0.4748 0.9786 0.2288  3 N 2.50



5.
Entry from Alexandria via LeMat-Bulk: crystalline ScCdRu2 at its relaxed geometry (GGA-PBE).

Calculated values
formation energy from the elements: 0.065 eV/atom

Unit cell a=4.3476 b=2.8859 c=5.4615 alpha=82.10 beta=90.00 gamma=90.00
With the nearest neighbours (Å) after each atom.
Fractional positions:
Ru 0.0000 0.4710 0.4687  2 Sc 2.60, 4 Ru 2.69-2.89, 2 Cd 2.84
Ru 0.0000 0.0290 0.0313  2 Sc 2.60, 4 Ru 2.69-2.89, 2 Cd 2.84
Sc 0.5000 0.2500 0.2500  4 Ru 2.60, 2 Sc 2.89, 2 Cd 2.91
Cd 0.5000 0.7500 0.7500  4 Ru 2.84, 2 Cd 2.89, 2 Sc 2.91



6.
Entry from Alexandria via LeMat-Bulk: crystalline Cs2KMgBi2 at its relaxed geometry (GGA-PBE).

Calculated values
formation energy from the elements: -0.360 eV/atom

Unit cell a=8.4182 b=7.6026 c=10.5003 alpha=111.22 beta=113.63 gamma=90.00
With the nearest neighbours (Å) after each atom.
Fractional positions:
Cs 0.0879 0.3268 0.6535  4 Bi 3.92-4.12, 2 Mg 4.13, 2 K 4.22
Cs 0.9121 0.6732 0.3465  4 Bi 3.92-4.12, 2 Mg 4.13, 2 K 4.22
Cs 0.5656 0.8268 0.6535  4 Bi 3.92-4.12, 2 Mg 4.13, 2 K 4.22
Cs 0.4344 0.1732 0.3465  4 Bi 3.92-4.12, 2 Mg 4.13, 2 K 4.22
K 0.0000 0.2500 0.0000  4 Bi 3.60, 2 K 3.80
K 0.0000 0.7500 0.0000  4 Bi 3.60, 2 K 3.80
Bi 0.3980 0.5959 0.1917  2 Mg 3.04
Bi 0.7937 0.0959 0.1917  2 Mg 3.04
Bi 0.6020 0.4041 0.8083  2 Mg 3.04
Bi 0.2063 0.9041 0.8083  2 Mg 3.04
Mg 0.5000 0.2500 0.0000  4 Bi 3.04
Mg 0.5000 0.7500 0.0000  4 Bi 3.04



7.
Entry from Alexandria via LeMat-Bulk: crystalline TlCrN3 at its relaxed geometry (GGA-PBE).

Calculated values
ΔE_f (raw): 0.8781 eV/atom

Unit cell a=3.8288 b=3.8288 c=3.8288 alpha=90.00 beta=90.00 gamma=90.00
With the nearest neighbours (Å) after each atom.
Fractional positions:
N 0.5000 0.0000 0.0000  2 Cr 1.91
N 0.0000 0.5000 0.0000  2 Cr 1.91
N 0.0000 0.0000 0.5000  2 Cr 1.91
Tl 0.5000 0.5000 0.5000  12 N 2.71
Cr 0.0000 0.0000 0.0000  6 N 1.91



8.
Entry from Alexandria via LeMat-Bulk: crystalline CsTa4 at its relaxed geometry (GGA-PBE).

Calculated values
formation energy from the elements: 3.298 eV/atom

Unit cell a=4.9602 b=4.9602 c=4.9602 alpha=90.00 beta=90.00 gamma=90.00
With the nearest neighbours (Å) after each atom.
Fractional positions:
Ta 0.0000 0.0000 0.0000  12 Ta 3.51
Ta 0.5000 0.5000 0.0000  2 Cs 2.48
Ta 0.0000 0.5000 0.5000  2 Cs 2.48
Ta 0.5000 0.0000 0.5000  2 Cs 2.48
Cs 0.5000 0.5000 0.5000  6 Ta 2.48



9.
Entry from Alexandria via LeMat-Bulk: crystalline Sr6CaTl5 at its relaxed geometry (GGA-PBE).

Calculated values
formation energy from the elements: -0.350 eV/atom

Unit cell a=5.8065 b=8.4407 c=10.1317 alpha=114.62 beta=106.65 gamma=90.00
With the nearest neighbours (Å) after each atom.
Fractional positions:
Sr 0.1746 0.4338 0.3493  7 Tl 3.53-3.69, 1 Ca 3.76, 2 Sr 3.92
Sr 0.5000 0.2733 0.0000  6 Tl 3.48-3.49, 2 Ca 3.71, 1 Sr 3.83
Sr 0.5000 0.7267 0.0000  6 Tl 3.48-3.49, 2 Ca 3.71, 1 Sr 3.83
Sr 0.8254 0.5662 0.6507  7 Tl 3.53-3.69, 1 Ca 3.76, 2 Sr 3.92
Sr 0.8254 0.0845 0.6507  7 Tl 3.53-3.69, 1 Ca 3.76, 2 Sr 3.92
Sr 0.1746 0.9155 0.3493  7 Tl 3.53-3.69, 1 Ca 3.76, 2 Sr 3.92
Tl 0.3510 0.8510 0.7021  8 Sr 3.48-3.69
Tl 0.0000 0.5000 0.0000  8 Sr 3.48-3.67
Tl 0.6490 0.1490 0.2979  8 Sr 3.48-3.69
Tl 0.3329 0.3329 0.6659  8 Sr 3.49-3.55
Tl 0.6671 0.6671 0.3341  8 Sr 3.49-3.55
Ca 0.0000 0.0000 0.0000  8 Sr 3.71-3.76, 4 Tl 3.90



10.
Entry from Alexandria via LeMat-Bulk: crystalline BaLiNi3 at its relaxed geometry (GGA-PBE).

Calculated values
formation energy from the elements: 0.532 eV/atom
offset from the most stable computed form: 0 meV per atom

Unit cell a=4.4389 b=4.4389 c=4.4389 alpha=90.00 beta=90.00 gamma=90.00
With the nearest neighbours (Å) after each atom.
Fractional positions:
Li 0.0000 0.0000 0.0000  6 Ni 2.22
Ni 0.0000 0.5000 0.0000  2 Li 2.22
Ni 0.5000 0.0000 0.0000  2 Li 2.22
Ni 0.0000 0.0000 0.5000  2 Li 2.22
Ba 0.5000 0.5000 0.5000  12 Ni 3.14



no.,magnetization (μB per cell)
1,0.0
2,0.0
3,0.0
4,0.0
5,0.0
6,1.4
7,0.0
8,0.0
9,0.0
10,0.0